Record 1
# SCAN CdHgS2, single point on PBEsol structure
data_CdHgS2
_cell_length_a 5.8498
_cell_length_b 5.8498
_cell_length_c 11.7115
_cell_angle_alpha 90.00
_cell_angle_beta 90.00
_cell_angle_gamma 90.00
_symmetry_space_group_name_H-M 'I -4 2 d'
_symmetry_Int_Tables_number 122
_symmetry_space_group_name_Hall 'I -4 2bw'
loop_
_atom_site_label
_atom_site_type_symbol
_atom_site_fract_x
_atom_site_fract_y
_atom_site_fract_z
Cd1 Cd 0.0000 0.0000 0.0000
Hg1 Hg 0.0000 0.0000 0.5000
S1 S 0.2468 0.2500 0.1250
# Offset from the most stable computed form, meV per atom: 0.0
# Uncorrected energy, eV for the cell shown: -478.5
# Formation energy (no corrections), meV/atom: -447



Record 2
# SCAN TaZn2W, single point on PBEsol structure
data_TaZn2W
_cell_length_a 2.7954
_cell_length_b 2.7954
_cell_length_c 27.4608
_cell_angle_alpha 90.00
_cell_angle_beta 90.00
_cell_angle_gamma 120.00
_symmetry_space_group_name_H-M 'R -3 m'
_symmetry_Int_Tables_number 166
_symmetry_space_group_name_Hall '-R 3 2"'
loop_
_atom_site_label
_atom_site_type_symbol
_atom_site_fract_x
_atom_site_fract_y
_atom_site_fract_z
Ta1 Ta 0.0000 0.0000 0.0000
Zn1 Zn 0.0000 0.0000 0.2479
W1 W 0.0000 0.0000 0.5000
# Offset from the most stable computed form, meV per atom: 66.9
# Energy of formation, eV per atom: 0.267
# Uncorrected energy, eV for the cell shown: -486.7



> Among the records above, which one has the lowest uncorrected energy?

TaZn2W



> uncorrected energy of number 1 (CdHgS2)?

-478.5 eV for the cell shown